# CaNiRu GGA-PBE relaxed
data_CaNiRu
_chemical_formula_sum 'Ca4 Ni4 Ru4'
_symmetry_space_group_name_H-M 'I m a 2'
_symmetry_Int_Tables_number 46
_symmetry_space_group_name_Hall 'I 2 -2a'
_cell_length_a 4.346
_cell_length_b 7.138
_cell_length_c 7.082
_cell_angle_alpha 90.00
_cell_angle_beta 90.00
_cell_angle_gamma 90.00
loop_
_atom_site_label
_atom_site_type_symbol
_atom_site_fract_x
_atom_site_fract_y
_atom_site_fract_z
Ca1 Ca 0.250 0.183 0.000
Ni1 Ni 0.250 0.601 0.176
Ru1 Ru 0.250 0.578 0.834
# energy	-5.59	eV/atom
# relative energy among the computed polymorphs	14.82	kJ/mol of atoms
# ρ	6.0	g/cm³